No. 1
{
  "formula": "NbBrF3",
  "functional": "PBE",
  "state": "optimized geometry",
  "dos_at_fermi_per_ev_cell": 12.20,
  "m_tot_mub_per_fu": 3.37,
  "spacegroup": "Pm-3m, No. 221",
  "e_form_raw_mev_per_atom": 142,
  "total_energy_ry_per_atom": -0.24470,
  "cell": [[-2.6328, -1.8023, -3.2866], [-3.1984, -1.0140, 3.1182], [-1.9545, 4.0872, -0.6756]],
  "species": ["F", "Nb", "F", "Br", "F"],
  "frac_coords": [[0.5000, 0.0000, 0.0000], [0.5000, 0.5000, 0.5000], [0.0000, 0.0000, 0.5000], [0.0000, 0.0000, 0.0000], [0.0000, 0.5000, 0.0000]]
}

=====

No. 2
{
  "formula": "BaInCl3",
  "functional": "PBE",
  "state": "optimized geometry",
  "dos_at_fermi_per_ev_cell": 1.18,
  "m_tot_mub_per_fu": 0.00,
  "spacegroup": "Pm-3m, No. 221",
  "e_form_raw_mev_per_atom": -1350,
  "total_energy_ry_per_atom": -0.24920,
  "cell": [[-0.8885, -5.5231, -0.8431], [1.2812, -1.0324, 5.4127], [-5.4382, 0.6591, 1.4130]],
  "species": ["Ba", "Cl", "In", "Cl", "Cl"],
  "frac_coords": [[0.5000, 0.5000, 0.5000], [0.0000, 0.0000, 0.5000], [0.0000, 0.0000, 0.0000], [0.0000, 0.5000, 0.0000], [0.5000, 0.0000, 0.0000]]
}